# 1
First-principles (PBE-GGA) data for an optimized crystal structure of Y2CuNi2Pt5, as listed in the Alexandria database.

## Properties
DOS at the Fermi energy: 21.0 states/eV per cell
space-group type: P4/mbm (127)
formation energy from the elements: -0.7133 eV/atom

a b c (Å): 3.9283 9.1823 9.1823
angles (deg): 90.00 90.00 90.00
Element x y z (fractional)
Y: 0.0000 0.8236 0.6764
Ni: 0.0000 0.1223 0.6223
Pt: 0.5000 0.5663 0.7034
Pt: 0.5000 0.2966 0.5663
Ni: 0.0000 0.8777 0.3777
Pt: 0.5000 0.5000 0.0000
Pt: 0.5000 0.2034 0.0663
Cu: 0.0000 0.0000 0.0000
Pt: 0.5000 0.9337 0.2034
Ni: 0.0000 0.6223 0.8777
Ni: 0.0000 0.3777 0.1223
Y: 0.0000 0.3236 0.8236
Pt: 0.5000 0.7966 0.9337
Pt: 0.5000 0.7034 0.4337
Y: 0.0000 0.6764 0.1764
Y: 0.0000 0.1764 0.3236
Pt: 0.5000 0.0000 0.5000
Cu: 0.0000 0.5000 0.5000
Pt: 0.5000 0.4337 0.2966
Pt: 0.5000 0.0663 0.7966

---

# 2
First-principles (PBE-GGA) data for an optimized crystal structure of Y2Cu6NiPt, as listed in the Alexandria database.

## Properties
DOS at the Fermi energy: 4.6 states/eV per cell
space-group type: P-1 (2)
formation energy from the elements: -0.1314 eV/atom

a b c (Å): 6.2511 6.1522 6.0650
angles (deg): 62.00 60.27 90.99
Element x y z (fractional)
Y: 0.1832 0.8116 0.6334
Y: 0.8168 0.1884 0.3666
Pt: 0.5000 0.5000 0.0000
Cu: 0.3854 0.1534 0.9370
Cu: 0.8456 0.3235 0.7766
Ni: 0.0000 0.0000 0.0000
Cu: 0.6146 0.8466 0.0630
Cu: 0.1544 0.6765 0.2234
Cu: 0.6815 0.6185 0.4746
Cu: 0.3185 0.3815 0.5254

---

# 3
First-principles (PBE-GGA) data for an optimized crystal structure of Zn2Cu2Ni2Pt, as listed in the Alexandria database.

## Properties
DOS at the Fermi energy: 4.3 states/eV per cell
space-group type: C2/m (12)
formation energy from the elements: -0.1757 eV/atom

a b c (Å): 3.7440 4.5116 5.8573
angles (deg): 97.45 90.00 114.52
Element x y z (fractional)
Zn: 0.4224 0.8448 0.2791
Zn: 0.5776 0.1552 0.7209
Cu: 0.1449 0.2898 0.4320
Pt: 0.0000 0.0000 0.0000
Ni: 0.2827 0.5653 0.8489
Ni: 0.7173 0.4347 0.1511
Cu: 0.8551 0.7102 0.5680

---

# 4
First-principles (PBE-GGA) data for an optimized crystal structure of PuCu6Ni6, as listed in the Alexandria database.

## Properties
DOS at the Fermi energy: 24.2 states/eV per cell
space-group type: Immm (71)
formation energy from the elements: -0.0376 eV/atom

a b c (Å): 4.7659 6.3511 6.3511
angles (deg): 81.77 67.96 67.96
Last column: magnetic moment on the atom in μB.
Element x y z (fractional)
Ni: 0.0000 0.0000 0.5000  -0.13
Ni: 0.0000 0.5000 0.0000  -0.13
Cu: 0.6446 0.3554 0.3554  0.00
Pu: 0.0000 0.0000 0.0000  4.97
Cu: 0.2777 0.2223 0.2223  -0.01
Cu: 0.0000 0.6482 0.3518  0.01
Cu: 0.3554 0.6446 0.6446  0.00
Cu: 0.7223 0.7777 0.7777  -0.01
Ni: 0.5000 0.7825 0.2175  -0.20
Ni: 0.5000 0.5000 0.0000  -0.13
Ni: 0.5000 0.0000 0.5000  -0.13
Ni: 0.5000 0.2175 0.7825  -0.20
Cu: 0.0000 0.3518 0.6482  0.01

---

# 5
First-principles (PBE-GGA) data for an optimized crystal structure of Pu2Cu5Ni5, as listed in the Alexandria database.

## Properties
DOS at the Fermi energy: 37.2 states/eV per cell
space-group type: Pmmm (47)
formation energy from the elements: -0.0897 eV/atom

a b c (Å): 3.9429 5.0357 8.6799
angles (deg): 90.00 90.00 90.00
Last column: magnetic moment on the atom in μB.
Element x y z (fractional)
Pu: 0.0000 0.5000 0.0000  5.13
Ni: 0.5000 0.7493 0.2517  -0.17
Cu: 0.5000 0.0000 0.0000  0.01
Ni: 0.5000 0.7493 0.7483  -0.17
Pu: 0.0000 0.0000 0.5000  5.08
Cu: 0.0000 0.0000 0.1690  0.00
Ni: 0.5000 0.2507 0.7483  -0.17
Ni: 0.5000 0.5000 0.5000  -0.20
Cu: 0.0000 0.5000 0.3331  -0.01
Ni: 0.5000 0.2507 0.2517  -0.17
Cu: 0.0000 0.5000 0.6669  -0.01
Cu: 0.0000 0.0000 0.8310  0.00

---

# 6
First-principles (PBE-GGA) data for an optimized crystal structure of Pu3Cu8Ni, as listed in the Alexandria database.

## Properties
DOS at the Fermi energy: 29.9 states/eV per cell
space-group type: R3m (160)
formation energy from the elements: 0.0269 eV/atom

a b c (Å): 5.1098 5.1098 8.8186
angles (deg): 73.16 73.16 60.00
Last column: magnetic moment on the atom in μB.
Element x y z (fractional)
Pu: 0.6249 0.6249 0.1253  5.46
Cu: 0.5542 0.0616 0.3226  0.07
Cu: 0.3124 0.3124 0.0627  0.07
Cu: 0.5659 0.5659 0.8048  0.04
Cu: 0.5659 0.0634 0.8048  0.04
Cu: 0.0634 0.5659 0.8048  0.04
Ni: 0.1286 0.1286 0.6143  -0.26
Cu: 0.8114 0.8114 0.5657  0.04
Pu: 0.4968 0.4968 0.5095  5.21
Cu: 0.0616 0.5542 0.3226  0.07
Pu: 0.0033 0.0033 0.9901  5.33
Cu: 0.0616 0.0616 0.3226  0.07